K2TaAu | GGA-PBE | optimized geometry

Geometry as extended XYZ:
```
4
Lattice="3.0279 0.0000 0.0000 0.0000 4.2899 0.0000 -0.0516 0.0000 10.4484" Properties=species:S:1:pos:R:3 pbc="T T T"
K 0.0000 0.0000 0.0000
K 1.4690 2.1449 6.1808
Ta 1.5040 2.1449 2.7873
Au -0.0117 0.0000 3.6430
```

Values from the calculation:
Space-group type: Pm (6)
Formation energy from the elements, eV per atom: 0.53